No. 1
Below is a relaxed structure of TbAgBiPt, with properties calculated at the GGA-PBE level.

Unit cell a=5.008 b=5.008 c=5.008 alpha=60.00 beta=60.00 gamma=60.00
Fractional coordinates of all 4 atoms:
Pt 0.750 0.750 0.750
Ag 0.250 0.250 0.250
Tb 0.000 0.000 0.000
Bi 0.500 0.500 0.500

## Properties
- Magnetic moment: 0.00 μB per formula unit
- Symmetry: F-43m, No. 216
- ΔE_f: -0.530 eV/atom

No. 2
Below is a relaxed structure of ThAgBiPt, with properties calculated at the GGA-PBE level.

Unit cell a=5.107 b=5.107 c=5.107 alpha=60.00 beta=60.00 gamma=60.00
Fractional coordinates of all 4 atoms:
Th 0.000 0.000 0.000
Bi 0.500 0.500 0.500
Pt 0.750 0.750 0.750
Ag 0.250 0.250 0.250

## Properties
- Magnetic moment: 0.00 μB per formula unit
- Symmetry: F-43m, No. 216
- ΔE_f: -0.485 eV/atom

No. 3
Below is a relaxed structure of TmAgBiPt, with properties calculated at the GGA-PBE level.

Unit cell a=4.968 b=4.968 c=4.968 alpha=60.00 beta=60.00 gamma=60.00
Fractional coordinates of all 4 atoms:
Bi 0.500 0.500 0.500
Ag 0.250 0.250 0.250
Pt 0.750 0.750 0.750
Tm 0.000 0.000 0.000

## Properties
- Magnetic moment: 0.00 μB per formula unit
- Symmetry: F-43m, No. 216
- ΔE_f: -0.507 eV/atom

No. 4
Below is a relaxed structure of ZrAgBiPt2, with properties calculated at the GGA-PBE level.

Unit cell a=4.992 b=5.642 c=4.992 alpha=90.00 beta=90.00 gamma=90.00
Fractional coordinates of all 5 atoms:
Zr 0.000 0.000 0.000
Pt 0.000 0.000 0.500
Pt 0.500 0.000 0.000
Ag 0.500 0.500 0.500
Bi 0.000 0.500 0.000

## Properties
- Magnetic moment: 0.00 μB per formula unit
- Symmetry: P4/mmm, No. 123
- ΔE_f: 0.698 eV/atom